A geometry-optimized TiCu2Pt structure. Source: Alexandria, functional PBE-GGA.

Values from the calculation:
E_tot in Ry per atom: -0.3982
Total magnetization in μB/atom: 0.12
DFT formation energy in eV/f.u.: 0.459

Unit cell a=6.9703 b=6.9703 c=5.5413 alpha=51.03 beta=51.03 gamma=90.00
Last column: nearest neighbours and their distance in Å.
Fractional positions:
Ti (0.2500, 0.7500, 0.5000)  2 Pt 2.53, 4 Cu 2.57
Ti (0.5000, 0.5000, 0.0000)  2 Pt 2.53, 4 Cu 2.57
Pt (0.0000, 0.0000, 0.0000)  4 Cu 2.52, 2 Ti 2.53
Pt (0.7500, 0.2500, 0.5000)  4 Cu 2.52, 2 Ti 2.53
Cu (0.6301, 0.1250, 0.2500)  2 Pt 2.52, 2 Cu 2.53, 2 Ti 2.57
Cu (0.3750, 0.3699, 0.7500)  2 Pt 2.52, 2 Cu 2.53, 2 Ti 2.57
Cu (0.1199, 0.6250, 0.2500)  2 Pt 2.52, 2 Cu 2.53, 2 Ti 2.57
Cu (0.8750, 0.8801, 0.7500)  2 Pt 2.52, 2 Cu 2.53, 2 Ti 2.57



A geometry-optimized TiCu2Pt structure. Source: Alexandria, functional PBE-GGA.

Values from the calculation:
E_tot in Ry per atom: -0.4395
Total magnetization in μB/atom: 0.00
DFT formation energy in eV/f.u.: -1.789

Unit cell a=4.5080 b=5.3049 c=4.6816 alpha=89.33 beta=90.00 gamma=90.00
Last column: nearest neighbours and their distance in Å.
Fractional positions:
Pt (0.2500, 0.5066, 0.6768)  4 Ti 2.54-2.75, 6 Cu 2.63-2.81, 2 Pt 2.80
Pt (0.7500, 0.4934, 0.3232)  4 Ti 2.54-2.75, 6 Cu 2.63-2.81, 2 Pt 2.80
Cu (0.2500, 0.7803, 0.1705)  4 Cu 2.62-2.65, 4 Ti 2.62-2.74, 4 Pt 2.74-2.81
Cu (0.7500, 0.9969, 0.3340)  6 Cu 2.62-2.74, 2 Pt 2.63-2.67, 4 Ti 2.72-2.81
Cu (0.2500, 0.0031, 0.6660)  6 Cu 2.62-2.74, 2 Pt 2.63-2.67, 4 Ti 2.72-2.81
Cu (0.7500, 0.2197, 0.8295)  4 Cu 2.62-2.65, 4 Ti 2.62-2.74, 4 Pt 2.74-2.81
Ti (0.7500, 0.7259, 0.8446)  4 Pt 2.54-2.75, 8 Cu 2.62-2.81
Ti (0.2500, 0.2741, 0.1554)  4 Pt 2.54-2.75, 8 Cu 2.62-2.81



A geometry-optimized Ti2CuPt structure. Source: Alexandria, functional PBE-GGA.

Values from the calculation:
E_tot in Ry per atom: -0.5129
Total magnetization in μB/atom: 0.16
DFT formation energy in eV/f.u.: -1.986

Unit cell a=5.4519 b=5.4524 c=5.4524 alpha=68.41 beta=71.03 gamma=108.97
Last column: nearest neighbours and their distance in Å.
Fractional positions:
Cu (0.5537, 0.7602, 0.7398)  8 Ti 2.62-2.85, 2 Pt 2.79, 1 Cu 2.89
Cu (0.4463, 0.2398, 0.2602)  8 Ti 2.62-2.85, 2 Pt 2.79, 1 Cu 2.89
Ti (0.0056, 0.7178, 0.7822)  4 Cu 2.62-2.85, 4 Pt 2.63-2.87, 1 Ti 2.64
Ti (0.5000, 0.7544, 0.2544)  4 Pt 2.70-2.74, 4 Cu 2.71-2.77
Ti (0.5000, 0.2456, 0.7456)  4 Pt 2.70-2.74, 4 Cu 2.71-2.77
Ti (0.9944, 0.2822, 0.2178)  4 Cu 2.62-2.85, 4 Pt 2.63-2.87, 1 Ti 2.64
Pt (0.0000, 0.7828, 0.2828)  8 Ti 2.63-2.87, 2 Cu 2.79
Pt (0.0000, 0.2172, 0.7172)  8 Ti 2.63-2.87, 2 Cu 2.79